#w
The following is a DFT calculation (GGA-PBE) of a relaxed structure of MgBe2Br.

a = 3.5267 Å, b = 3.5267 Å, c = 5.6064 Å
α = 90.00°, β = 90.00°, γ = 90.00°
With the nearest neighbours (Å) after each atom.
Space group P4/mmm (No. 123)
One atom of each set of equivalent atoms:
Mg 0.0000 0.0000 0.0000  8 Be 2.70, 2 Br 2.80
Be 0.5000 0.5000 0.1829  1 Be 2.05
Br 0.0000 0.0000 0.5000  2 Mg 2.80, 8 Be 3.06

#x
The following is a DFT calculation (GGA-PBE) of a relaxed structure of MgBe2Br.

a = 3.1064 Å, b = 3.2032 Å, c = 8.0989 Å
α = 90.00°, β = 90.00°, γ = 90.00°
With the nearest neighbours (Å) after each atom.
Space group Pmm2 (No. 25)
One atom of each set of equivalent atoms:
Mg 0.0000 0.0000 0.0000  1 Be 2.56, 4 Br 2.72
Be 0.0000 0.0000 0.6834  4 Be 2.27
Be 0.5000 0.5000 0.7375  4 Be 2.27
Br 0.5000 0.5000 0.1931  4 Mg 2.72

#y
The following is a DFT calculation (GGA-PBE) of a relaxed structure of MgBe2Br.

a = 3.5934 Å, b = 3.5934 Å, c = 6.0131 Å
α = 90.00°, β = 90.00°, γ = 90.00°
With the nearest neighbours (Å) after each atom.
Space group P4/mmm (No. 123)
One atom of each set of equivalent atoms:
Mg 0.0000 0.0000 0.0000  4 Br 2.54
Be 0.0000 0.5000 0.5000  4 Be 2.54
Br 0.5000 0.5000 0.0000  4 Mg 2.54

#z
The following is a DFT calculation (GGA-PBE) of a relaxed structure of MgBe2Br.

a = 3.3189 Å, b = 4.5725 Å, c = 4.6260 Å
α = 90.00°, β = 90.00°, γ = 90.00°
With the nearest neighbours (Å) after each atom.
Space group Pmmm (No. 47)
One atom of each set of equivalent atoms:
Mg 0.0000 0.0000 0.0000  4 Br 2.83, 8 Be 3.04
Be 0.5000 0.2344 0.5000  1 Be 2.14
Br 0.5000 0.5000 0.0000  4 Be 2.61, 4 Mg 2.83

Which one sits at the bottom of the stability order? #y does.

#w
The following is a DFT calculation (GGA-PBE) of a relaxed structure of MgBe2Br.

a = 3.8147 Å, b = 3.8147 Å, c = 9.3499 Å
α = 90.00°, β = 90.00°, γ = 90.00°
With the nearest neighbours (Å) after each atom.
Space group I-4m2 (No. 119)
One atom of each set of equivalent atoms:
Mg 0.0000 0.0000 0.0000  8 Be 2.70-3.02, 4 Br 3.02
Be 0.0000 0.0000 0.5000  4 Mg 2.70, 4 Br 3.02, 4 Be 3.02
Be 0.0000 0.5000 0.7500  4 Br 2.70, 4 Mg 3.02, 4 Be 3.02
Br 0.0000 0.5000 0.2500  8 Be 2.70-3.02, 4 Mg 3.02

#x
The following is a DFT calculation (GGA-PBE) of a relaxed structure of MgBe2Br.

a = 3.2939 Å, b = 5.7293 Å, c = 7.9045 Å
α = 90.00°, β = 90.00°, γ = 90.00°
With the nearest neighbours (Å) after each atom.
Space group Cmm2 (No. 35)
One atom of each set of equivalent atoms:
Mg 0.0000 0.0000 0.0000  2 Be 2.56
Be 0.0000 0.0000 0.5585  2 Be 2.25, 2 Br 2.33
Be 0.0000 0.5000 0.7521  2 Be 2.25
Br 0.0000 0.5000 0.3506  2 Be 2.33

#y
The following is a DFT calculation (GGA-PBE) of a relaxed structure of MgBe2Br.

a = 3.1014 Å, b = 5.6227 Å, c = 8.4688 Å
α = 90.00°, β = 90.00°, γ = 90.00°
With the nearest neighbours (Å) after each atom.
Space group Imm2 (No. 44)
One atom of each set of equivalent atoms:
Mg 0.0000 0.0000 0.0000  2 Be 2.73
Be 0.0000 0.0000 0.4619  2 Be 2.27, 2 Br 2.31
Be 0.0000 0.5000 0.7657  2 Be 2.27
Br 0.0000 0.5000 0.1643  2 Be 2.31

Which one sits at the bottom of the stability order? #w does.

#w
The following is a DFT calculation (GGA-PBE) of a relaxed structure of MgBe2Br.

a = 6.6719 Å, b = 6.6719 Å, c = 6.6719 Å
α = 90.00°, β = 90.00°, γ = 90.00°
With the nearest neighbours (Å) after each atom.
Space group Fm-3m (No. 225)
One atom of each set of equivalent atoms:
Mg 0.0000 0.0000 0.0000  8 Be 2.89
Be 0.2500 0.2500 0.2500  4 Br 2.89, 4 Mg 2.89
Br 0.0000 0.0000 0.5000  8 Be 2.89

#x
The following is a DFT calculation (GGA-PBE) of a relaxed structure of MgBe2Br.

a = 3.2850 Å, b = 5.6622 Å, c = 7.7528 Å
α = 90.00°, β = 90.00°, γ = 90.00°
With the nearest neighbours (Å) after each atom.
Space group Cmmm (No. 65)
One atom of each set of equivalent atoms:
Mg 0.0000 0.0000 0.0000  4 Be 2.61
Be 0.0000 0.5000 0.2622  2 Br 2.47, 2 Mg 2.61
Br 0.0000 0.0000 0.5000  4 Be 2.47

#y
The following is a DFT calculation (GGA-PBE) of a relaxed structure of MgBe2Br.

a = 6.7917 Å, b = 3.9180 Å, c = 6.0052 Å
α = 90.00°, β = 111.94°, γ = 90.00°
With the nearest neighbours (Å) after each atom.
Space group Cm (No. 8)
One atom of each set of equivalent atoms:
Mg 0.0000 0.0000 0.0000  6 Be 2.56-2.65
Be 0.0846 0.5000 0.7526  3 Be 2.27, 1 Br 2.30
Be 0.2617 0.0000 0.7833  3 Be 2.27
Br 0.4465 0.0000 0.3405  1 Be 2.30

Which one sits at the bottom of the stability order? #w does.

#w
The following is a DFT calculation (GGA-PBE) of a relaxed structure of MgBe2Br.

a = 3.1044 Å, b = 4.3716 Å, c = 10.2137 Å
α = 90.00°, β = 90.00°, γ = 90.00°
With the nearest neighbours (Å) after each atom.
Space group Immm (No. 71)
One atom of each set of equivalent atoms:
Mg 0.0000 0.0000 0.0000  4 Br 2.68, 4 Be 2.95
Be 0.0000 0.5000 0.2542  4 Be 2.68, 2 Mg 2.95
Br 0.0000 0.0000 0.5000  4 Mg 2.68

#x
The following is a DFT calculation (GGA-PBE) of a relaxed structure of MgBe2Br.

a = 3.2570 Å, b = 3.2570 Å, c = 22.2873 Å
α = 90.00°, β = 90.00°, γ = 120.00°
With the nearest neighbours (Å) after each atom.
Space group R-3m (No. 166, hexagonal axes)
One atom of each set of equivalent atoms:
Mg 0.0000 0.0000 0.0000  6 Be 2.72
Be 0.0000 0.0000 0.2454  3 Br 2.57, 3 Mg 2.72
Br 0.0000 0.0000 0.5000  6 Be 2.57

#y
The following is a DFT calculation (GGA-PBE) of a relaxed structure of MgBe2Br.

a = 6.5896 Å, b = 6.5896 Å, c = 6.5896 Å
α = 90.00°, β = 90.00°, γ = 90.00°
With the nearest neighbours (Å) after each atom.
Space group F-43m (No. 216)
One atom of each set of equivalent atoms:
Mg 0.0000 0.0000 0.0000  4 Br 2.85, 4 Be 2.85
Be 0.0000 0.0000 0.5000  4 Be 2.85, 4 Br 2.85
Be 0.2500 0.2500 0.2500  4 Mg 2.85, 4 Be 2.85
Br 0.2500 0.2500 0.7500  4 Be 2.85, 4 Mg 2.85

Which one sits at the bottom of the stability order? #y does.

#w
The following is a DFT calculation (GGA-PBE) of a relaxed structure of MgBe2Br.

a = 7.2118 Å, b = 7.2118 Å, c = 5.3262 Å
α = 90.00°, β = 90.00°, γ = 90.00°
With the nearest neighbours (Å) after each atom.
Space group I-42d (No. 122)
One atom of each set of equivalent atoms:
Mg 0.0000 0.0000 0.0000  2 Br 2.66, 4 Be 2.76
Be 0.2257 0.7500 0.6250  2 Br 2.52, 2 Be 2.69, 2 Mg 2.76
Br 0.0000 0.0000 0.5000  4 Be 2.52, 2 Mg 2.66

#x
The following is a DFT calculation (GGA-PBE) of a relaxed structure of MgBe2Br.

a = 4.6551 Å, b = 4.6551 Å, c = 3.1834 Å
α = 90.00°, β = 90.00°, γ = 90.00°
With the nearest neighbours (Å) after each atom.
Space group P4/mmm (No. 123)
One atom of each set of equivalent atoms:
Mg 0.0000 0.0000 0.0000  8 Be 2.82
Be 0.0000 0.5000 0.5000  4 Br 2.82, 4 Mg 2.82
Br 0.5000 0.5000 0.0000  8 Be 2.82

Which one sits at the bottom of the stability order? #x does.

#w
The following is a DFT calculation (GGA-PBE) of a relaxed structure of MgBeBr4.

a = 8.9646 Å, b = 8.9646 Å, c = 8.9646 Å
α = 90.00°, β = 90.00°, γ = 90.00°
With the nearest neighbours (Å) after each atom.
Space group F-43m (No. 216)
One atom of each set of equivalent atoms:
Mg 0.0000 0.0000 0.0000  12 Br 3.71, 4 Be 3.88
Be 0.2500 0.2500 0.7500  12 Br 3.72, 4 Mg 3.88
Br 0.1258 0.1258 0.3742  6 Br 3.15-3.19

#x
The following is a DFT calculation (GGA-PBE) of a relaxed structure of MgBeBr4.

a = 7.1303 Å, b = 7.1303 Å, c = 10.4382 Å
α = 90.00°, β = 90.00°, γ = 90.00°
With the nearest neighbours (Å) after each atom.
Space group P4_2/mmc (No. 131)
One atom of each set of equivalent atoms:
Mg 0.0000 0.0000 0.0000  4 Br 2.55
Be 0.0000 0.5000 0.0000  4 Br 2.32
Br 0.2321 0.2715 0.0000  1 Be 2.32, 1 Mg 2.55

Which one sits at the bottom of the stability order? #w does.

#w
The following is a DFT calculation (GGA-PBE) of a relaxed structure of MgBe3Br.

a = 4.8630 Å, b = 4.8630 Å, c = 4.8630 Å
α = 90.00°, β = 90.00°, γ = 90.00°
With the nearest neighbours (Å) after each atom.
Space group Pm-3m (No. 221)
One atom of each set of equivalent atoms:
Mg 0.0000 0.0000 0.0000  6 Be 2.43
Be 0.0000 0.0000 0.5000  2 Mg 2.43
Br 0.5000 0.5000 0.5000  12 Be 3.44

#x
The following is a DFT calculation (GGA-PBE) of a relaxed structure of MgBe3Br.

a = 4.5349 Å, b = 4.5349 Å, c = 4.5349 Å
α = 90.00°, β = 90.00°, γ = 90.00°
With the nearest neighbours (Å) after each atom.
Space group Pm-3m (No. 221)
One atom of each set of equivalent atoms:
Mg 0.0000 0.0000 0.0000  12 Be 3.21
Be 0.0000 0.5000 0.5000  2 Br 2.27
Br 0.5000 0.5000 0.5000  6 Be 2.27

Which one sits at the bottom of the stability order? #w does.

#w
The following is a DFT calculation (GGA-PBE) of a relaxed structure of MgBeSe2Br.

a = 5.1167 Å, b = 5.1167 Å, c = 5.0007 Å
α = 90.00°, β = 90.00°, γ = 90.00°
With the nearest neighbours (Å) after each atom.
Space group P4/mmm (No. 123)
One atom of each set of equivalent atoms:
Mg 0.0000 0.0000 0.0000  2 Br 2.50, 4 Se 2.56
Be 0.5000 0.5000 0.5000  8 Se 3.58, 4 Br 3.62
Se 0.0000 0.5000 0.0000  2 Mg 2.56
Br 0.0000 0.0000 0.5000  2 Mg 2.50

#x
The following is a DFT calculation (GGA-PBE) of a relaxed structure of MgBeSe2Br.

a = 4.4724 Å, b = 4.4724 Å, c = 5.4874 Å
α = 90.00°, β = 90.00°, γ = 90.00°
With the nearest neighbours (Å) after each atom.
Space group P4/mmm (No. 123)
One atom of each set of equivalent atoms:
Mg 0.0000 0.0000 0.0000  4 Br 3.16, 8 Se 3.54
Be 0.5000 0.5000 0.5000  4 Se 2.24
Se 0.0000 0.5000 0.5000  2 Be 2.24
Br 0.5000 0.5000 0.0000  2 Be 2.74

Which one sits at the bottom of the stability order? #w does.

#w
The following is a DFT calculation (GGA-PBE) of a relaxed structure of Mn2BeBr.

a = 5.4340 Å, b = 7.3020 Å, c = 3.0433 Å
α = 90.00°, β = 90.00°, γ = 90.00°
With the nearest neighbours (Å) after each atom.
Space group Cmmm (No. 65)
One atom of each set of equivalent atoms:
Mn 0.2500 0.2500 0.0000  2 Mn 2.72, 4 Br 2.74, 4 Be 2.74
Be 0.0000 0.0000 0.5000  2 Br 2.72, 8 Mn 2.74
Br 0.0000 0.5000 0.5000  2 Be 2.72, 8 Mn 2.74

#x
The following is a DFT calculation (GGA-PBE) of a relaxed structure of Mn2BeBr.

a = 4.0091 Å, b = 4.0091 Å, c = 3.6030 Å
α = 90.00°, β = 90.00°, γ = 90.00°
With the nearest neighbours (Å) after each atom.
Space group P4/mmm (No. 123)
One atom of each set of equivalent atoms:
Mn 0.0000 0.5000 0.0000  4 Br 2.70, 4 Be 2.70, 4 Mn 2.83
Be 0.0000 0.0000 0.5000  8 Mn 2.70, 4 Br 2.83
Br 0.5000 0.5000 0.5000  8 Mn 2.70, 4 Be 2.83

Which one sits at the bottom of the stability order? #x does.

#w
The following is a DFT calculation (GGA-PBE) of a relaxed structure of MnBeBr2.

a = 3.4625 Å, b = 3.2697 Å, c = 8.3100 Å
α = 90.00°, β = 90.29°, γ = 90.00°
With the nearest neighbours (Å) after each atom.
Space group Pm (No. 6)
One atom of each set of equivalent atoms:
Mn 0.0000 0.0000 0.0000  2 Br 2.50, 4 Be 2.77
Be 0.5012 0.5000 0.1705  2 Br 2.19
Br 0.5035 0.0000 0.3457  2 Be 2.19
Br 0.9948 0.5000 0.7727  2 Mn 2.50

#x
The following is a DFT calculation (GGA-PBE) of a relaxed structure of MnBeBr2.

a = 3.2790 Å, b = 3.2790 Å, c = 7.5480 Å
α = 90.00°, β = 90.00°, γ = 90.00°
With the nearest neighbours (Å) after each atom.
Space group P4mm (No. 99)
One atom of each set of equivalent atoms:
Mn 0.0000 0.0000 0.0000  1 Br 2.47, 4 Be 2.53
Be 0.5000 0.5000 0.1337  4 Mn 2.53, 5 Br 2.57-2.74
Br 0.0000 0.0000 0.3275  1 Mn 2.47, 4 Be 2.74
Br 0.5000 0.5000 0.7935  1 Be 2.57, 4 Mn 2.79

#y
The following is a DFT calculation (GGA-PBE) of a relaxed structure of MnBeBr2.

a = 5.0282 Å, b = 3.5062 Å, c = 5.0537 Å
α = 90.00°, β = 95.82°, γ = 90.00°
With the nearest neighbours (Å) after each atom.
Space group P2/m (No. 10)
One atom of each set of equivalent atoms:
Mn 0.0000 0.0000 0.0000  4 Br 2.64
Be 0.5000 0.0000 0.5000  4 Br 2.49
Br 0.2635 0.5000 0.7365  2 Be 2.49, 2 Mn 2.64

Which one sits at the bottom of the stability order? #y does.